Entry 1:
6
Lattice="-1.6843 -1.5666 3.2725 -1.6116 -0.6766 -3.5979 2.6925 -3.8871 -0.4750" Properties=species:S:1:pos:R:3 comment="LiFe2 PBEsol relaxed" total_energy_ev_per_atom=-6.222 ef_mev_per_atom=409.6 sg="P6_3/mmc (194)" pbc="T T T"
Li 0.3836 -3.8886 -1.6641
Li -0.9869 -2.2417 0.8636
Fe 0.3594 -4.1852 0.6261
Fe 0.0000 0.0000 0.0000
Fe -0.9627 -1.9450 -1.4265
Fe 1.3462 -1.9436 -0.2375

Entry 2:
3
Lattice="-2.9589 -2.2692 0.3355 0.5067 -3.6597 0.6050 -0.8539 -1.4827 3.3300" Properties=species:S:1:pos:R:3 comment="LiFe2 PBEsol relaxed" total_energy_ev_per_atom=-5.614 ef_mev_per_atom=1016.9 sg="Fm-3m (225)" pbc="T T T"
Fe -0.8265 -1.8529 1.0676
Fe -2.4796 -5.5587 3.2029
Li 0.0000 0.0000 0.0000

Entry 3:
4
Lattice="2.3537 0.0000 0.0000 0.0000 4.4710 -0.0227 0.0000 -1.7995 4.0929" Properties=species:S:1:pos:R:3 comment="LiFe3 PBEsol relaxed" total_energy_ev_per_atom=-6.964 ef_mev_per_atom=250.5 sg="Cmmm (65)" pbc="T T T"
Fe 1.1768 -0.8997 2.0465
Fe 0.0000 1.3358 2.0351
Fe 1.1768 2.2355 -0.0114
Li 0.0000 0.0000 0.0000

Entry 4:
6
Lattice="2.4283 0.0000 0.0000 0.0000 2.4283 0.0000 -1.2141 -1.2141 13.5938" Properties=species:S:1:pos:R:3 comment="Li2Fe PBEsol relaxed" total_energy_ev_per_atom=-3.980 ef_mev_per_atom=319.2 sg="I4_1/amd (141)" pbc="T T T"
Fe 0.0000 1.2141 6.7969
Fe 0.0000 0.0000 0.0000
Li 1.2141 0.0000 8.8697
Li 0.0000 0.0000 11.5211
Li 1.2141 1.2141 2.0728
Li 1.2141 0.0000 4.7241

Entry 5:
4
Lattice="2.7274 0.0000 0.0000 0.0000 4.0132 0.0000 0.0000 0.0000 4.0132" Properties=species:S:1:pos:R:3 comment="LiFe3 PBEsol relaxed" total_energy_ev_per_atom=-6.945 ef_mev_per_atom=269.5 sg="P4/mmm (123)" pbc="T T T"
Fe 0.0000 2.0066 0.0000
Fe 0.0000 0.0000 2.0066
Fe 1.3637 2.0066 2.0066
Li 1.3637 0.0000 0.0000

Entry 6:
4
Lattice="-2.1514 1.4251 -0.9674 -1.5867 -3.8564 -2.1522 -0.6804 0.0548 5.5194" Properties=species:S:1:pos:R:3 comment="Li2MgFe PBEsol relaxed" total_energy_ev_per_atom=-3.331 ef_mev_per_atom=322.5 sg="Immm (71)" pbc="T T T"
Mg -1.0757 0.7126 -0.4837
Li -1.3559 -0.6173 2.1058
Li -3.0627 -1.7591 0.2940
Fe -0.7934 -1.9282 -1.0761

Entry 7:
4
Lattice="-1.6961 1.6588 -0.8669 1.2044 -0.8187 -3.9231 -3.3768 -3.6017 -0.2851" Properties=species:S:1:pos:R:3 comment="LiMgFe2 PBEsol relaxed" total_energy_ev_per_atom=-5.014 ef_mev_per_atom=388.8 sg="Pmmm (47)" pbc="T T T"
Fe -0.8248 -0.8798 -0.0696
Fe -2.5520 -2.7219 -0.2155
Mg -1.9342 -1.3808 -2.5375
Li -0.2458 0.4201 -2.3950

Entry 8:
4
Lattice="-2.2799 -0.2233 -1.3241 2.2340 -4.2261 -0.4902 -2.4516 -1.1745 4.4194" Properties=species:S:1:pos:R:3 comment="Li2MgFe PBEsol relaxed" total_energy_ev_per_atom=-3.314 ef_mev_per_atom=339.1 sg="Cm (8)" pbc="T T T"
Li 0.0033 -0.0481 0.0024
Li -1.3282 -3.0692 2.8047
Mg -0.0828 -4.8455 0.9599
Fe -1.2215 -2.5861 -0.1043

Entry 9:
4
Lattice="-0.7803 -1.0017 3.2545 -3.1846 -0.9673 -1.0612 3.4415 -2.8935 -1.9404" Properties=species:S:1:pos:R:3 comment="LiMgFe2 PBEsol relaxed" total_energy_ev_per_atom=-5.064 ef_mev_per_atom=339.1 sg="I4/mmm (139)" pbc="T T T"
Fe -0.8628 -2.4226 -0.9525
Fe 0.3394 -2.4398 1.2053
Li -1.9824 -0.9845 1.0966
Mg 0.0000 0.0000 0.0000

Entry 10:
3
Lattice="-1.1374 -2.0812 -1.1408 3.8509 -1.0656 -1.8957 -1.0273 -1.6223 3.9840" Properties=species:S:1:pos:R:3 comment="LiMgFe PBEsol relaxed" total_energy_ev_per_atom=-3.828 ef_mev_per_atom=387.3 sg="P3m1 (156)" de_polymorph_ev_per_fu=0.00 pbc="T T T"
Fe -1.0713 -1.9601 -1.0744
Li -0.1895 -2.8791 1.2335
Mg 1.8095 -2.0111 -0.3524

Entry 11:
4
Lattice="-2.5830 -0.1458 0.8424 -0.4689 -2.0004 -1.7837 2.2188 -5.7057 5.8157" Properties=species:S:1:pos:R:3 comment="Li2MgFe PBEsol relaxed" total_energy_ev_per_atom=-3.323 ef_mev_per_atom=331.0 sg="P4/mmm (123)" pbc="T T T"
Fe -0.4166 -3.9259 2.4373
Mg -1.5259 -1.0731 -0.4706
Li 0.6219 -1.5992 1.6300
Li 1.5969 -4.1065 4.1857

Entry 12:
4
Lattice="2.8499 0.0000 0.0000 0.0000 4.5031 0.0000 -1.4250 -2.2516 4.3144" Properties=species:S:1:pos:R:3 comment="LiMgFe2 PBEsol relaxed" total_energy_ev_per_atom=-5.056 ef_mev_per_atom=347.1 sg="Imm2 (44)" pbc="T T T"
Fe 0.0000 0.0000 0.2318
Fe 1.4250 0.0000 1.9857
Mg 0.0000 2.2516 2.2202
Li 0.0000 0.0000 4.1912

Entry 13:
3
Lattice="-1.1362 -2.3904 0.3576 2.9634 -1.0336 2.5068 -3.1122 3.2401 1.7970" Properties=species:S:1:pos:R:3 comment="LiMgFe PBEsol relaxed" total_energy_ev_per_atom=-3.825 ef_mev_per_atom=391.1 sg="Imm2 (44)" de_polymorph_ev_per_fu=0.01 pbc="T T T"
Mg -1.4837 1.0312 2.1791
Li 0.2041 -1.2189 2.4742
Fe -0.0055 0.0038 0.0080

Entry 14:
4
Lattice="-1.2367 1.3686 2.1928 2.0158 -1.0110 1.7678 3.8145 5.4354 -1.2411" Properties=species:S:1:pos:R:3 comment="LiMgFe2 PBEsol relaxed" total_energy_ev_per_atom=-5.169 ef_mev_per_atom=233.6 sg="P4mm (99)" pbc="T T T"
Fe 0.1981 0.2822 -0.0644
Fe 1.1783 1.3027 1.7237
Li 1.7473 2.4898 -0.5685
Mg 3.3772 4.4359 1.0083

Entry 15:
26
Lattice="-3.1962 2.6130 2.3837 -4.1909 -1.8463 -3.6911 -1.7717 -7.8090 5.9481" Properties=species:S:1:pos:R:3 comment="Li2Mg2MnFeP4O16 PBEsol relaxed" total_energy_ev_per_atom=-7.373 sg="P1 (1)" e_form_raw_mev_per_atom=-2248 pbc="T T T"
O -5.0384 -5.4958 6.0669
O -1.4998 -2.1058 2.4446
O -6.5443 -1.3217 -0.7696
O -2.5353 -4.3617 2.7141
O -6.0481 -4.2331 3.9191
O -3.1725 -2.7738 0.8034
O -4.0791 -1.5348 -1.4935
O -5.0508 -5.5203 1.3780
O -6.5505 -2.7963 1.8665
O -2.2259 0.0013 0.2376
O -2.5733 -5.8305 5.3861
O -4.8831 -0.4293 0.7110
O -4.1212 -1.4090 3.1924
O -7.6919 -4.9643 2.2913
O -4.2557 -6.7312 3.9346
O -6.9972 -7.0636 4.5075
Mg -6.0501 -6.2023 2.9864
Mg -3.7010 -3.4936 -1.0423
P -5.1260 -0.6541 -0.8458
P -7.1590 -3.6296 2.9876
P -3.9984 -6.4373 5.4583
P -2.0347 -3.3459 1.6652
Li -7.1959 -6.1361 6.2911
Li -6.4726 -4.3251 0.5572
Mn -3.1948 -0.7148 1.6952
Fe -5.4435 -3.5624 5.7066

Entry 16:
64
Lattice="-6.3356 4.2091 3.5514 -3.7239 0.7138 -7.4894 -4.0624 -7.2370 1.3301" Properties=species:S:1:pos:R:3 comment="LiMg30FeO32 PBEsol relaxed" total_energy_ev_per_atom=-6.261 sg="P4/mmm (123)" e_form_raw_mev_per_atom=-2661 pbc="T T T"
Mg -3.9544 -5.2257 -0.8611
Mg -4.4638 -0.4087 -2.5240
Mg -7.7218 -0.2726 1.4896
Mg -7.0609 -1.1570 -1.3040
Mg -6.9816 0.8234 -3.5097
Mg -3.1678 2.1046 1.7757
Mg -3.8931 -3.2616 -3.0797
Mg -5.0297 2.4615 -1.9690
Mg -9.6581 -1.9053 -0.0839
Mg -5.7970 1.3325 3.0094
Mg -5.6850 3.3385 0.8012
Mg -2.5057 1.2263 -0.9809
Mg -7.5538 3.6967 -2.9571
Mg -7.6353 1.6983 -0.7462
Mg -7.1403 -3.1375 0.9017
Mg -6.4866 -4.0123 -1.8617
Mg -7.7998 -2.2352 3.6651
Mg -3.8319 -1.2975 -5.2982
Mg -4.3744 1.5845 -4.7393
Mg -6.4001 -2.0414 -4.0976
Mg -5.1175 0.4661 0.2394
Mg -1.9517 -1.6579 -1.5168
Mg -5.1990 -1.5139 2.4407
Mg -4.5157 -2.4026 -0.3076
Mg -1.8619 0.3569 -3.7447
Mg -9.0044 -2.7801 -2.8474
Mg -2.5982 -0.7926 1.2163
Mg -9.6062 0.0886 -2.3004
Mg -4.6009 -4.3604 1.8721
Mg -5.8346 -4.8652 -4.6425
O -8.7348 -2.0976 1.7960
O -2.8626 -1.4257 -3.4171
O -4.0914 2.2816 -0.0818
O -0.9362 -1.6678 0.3065
O -3.5211 -0.5741 -0.6512
O -1.5162 1.0073 0.8499
O -2.9735 -3.4379 -1.2300
O -2.8327 0.5430 -5.6971
O -5.9681 2.6414 -3.8563
O -5.5602 -4.2067 0.0165
O -6.6262 3.5221 -1.0741
O -4.9237 -5.0974 -2.7422
O -7.9909 -0.9787 -3.1742
O -5.4788 -2.2081 -2.1908
O -8.5617 1.8927 -2.6244
O -6.6957 1.5350 1.1284
O -5.3871 -0.2164 -4.4040
O -6.7637 -0.4744 3.3178
O -4.1685 0.3219 2.1033
O -0.8912 0.1708 -1.7923
O -4.8128 -3.0853 -4.9293
O -8.6430 -0.1059 -0.4171
O -10.6008 -1.7399 -1.9568
O -3.4333 1.4008 -2.8639
O -6.2295 -3.3498 2.7782
O -3.6343 -2.5534 1.5637
O -6.1310 -1.3353 0.5662
O -8.0818 -2.9757 -0.9697
O -7.4262 -3.8490 -3.7363
O -6.0401 0.6617 -1.6382
O -4.8194 3.2018 2.7015
O -3.1262 -5.5692 1.0236
Li -2.0312 -3.6185 0.6651
Fe 0.0000 0.0000 0.0000

Entry 17:
83
Lattice="5.8915 0.0034 0.0014 0.0246 10.1526 0.0076 0.0730 0.0178 14.0695" Properties=species:S:1:pos:R:3 comment="Li10Mg12FeP12O48 PBEsol relaxed" total_energy_ev_per_atom=-7.003 sg="P-1 (2)" e_form_raw_mev_per_atom=-2537 pbc="T T T"
P 1.4597 4.1056 5.0456
P 4.4491 0.9687 7.4210
P 1.5400 9.2051 6.6575
P 1.5866 4.1233 9.7862
P 4.5293 6.0682 9.0330
P 1.4780 4.1208 0.3837
P 1.4994 9.2010 1.9635
P 4.5110 6.0530 13.6949
P 1.5655 9.2188 11.3535
P 4.4025 6.0505 4.2923
P 4.4896 0.9728 12.1151
P 4.4235 0.9550 2.7251
Mg 4.4387 7.9018 2.2628
Mg 1.4902 7.3524 4.6123
Mg 1.5504 2.2719 11.8157
Mg 4.5091 7.9089 6.9743
Mg 4.4538 2.8141 4.7613
Mg 4.5072 7.9162 11.6642
Mg 1.4800 2.2649 7.1043
Mg 4.4243 2.8159 0.0788
Mg 1.5648 7.3578 13.9998
Mg 1.5352 7.3597 9.3173
Mg 4.4988 2.8213 9.4662
Mg 1.4818 2.2576 2.4144
O 1.5613 5.5712 10.3224
O 0.3394 8.4918 10.7146
O 2.7957 3.4050 10.4676
O 1.6491 4.0382 8.2518
O 0.3504 3.3897 10.3902
O 3.2881 6.7849 13.0520
O 1.4834 4.0536 3.5127
O 1.5421 0.5073 10.7840
O 2.7267 3.4091 5.7082
O 3.1934 6.7687 3.6109
O 4.4415 6.0920 1.1568
O 5.6911 6.8650 8.4139
O 0.2980 3.3087 5.6646
O 0.3144 8.4787 6.0087
O 3.2060 1.6891 3.3775
O 1.5331 5.5579 5.5748
O 5.6746 1.6951 8.0699
O 2.7009 3.3889 1.0265
O 0.2773 8.4664 1.3202
O 4.4873 1.0289 10.5840
O 3.2624 6.7646 8.3704
O 4.4785 9.6802 7.9911
O 1.5106 0.4936 6.0875
O 1.4830 5.5624 0.9449
O 5.7118 1.7074 12.7584
O 1.5018 9.1449 3.4946
O 4.4470 9.6664 3.2945
O 4.4179 1.0128 1.1937
O 4.5172 9.6844 12.6848
O 4.3399 6.1356 5.8268
O 5.7333 6.7831 13.0486
O 4.4277 4.6025 3.7561
O 1.5712 9.1610 12.8848
O 2.7830 8.4846 10.7011
O 4.4559 4.6158 8.5038
O 1.5475 4.0817 12.9218
O 1.5418 9.1527 8.1892
O 1.4718 0.4894 1.3938
O 5.6497 1.6819 3.3639
O 2.7203 8.4751 1.3105
O 4.5060 4.6114 13.1336
O 3.2688 1.6986 12.7680
O 3.2303 1.7010 8.0681
O 5.6387 6.7841 3.6884
O 4.4472 1.0210 5.8894
O 4.5056 6.1202 10.5658
O 2.7588 8.4727 6.0104
O 0.2557 3.3907 1.0300
Li 5.9628 10.1576 9.3884
Li 2.9917 0.0184 9.3779
Li 5.9008 5.0720 2.3459
Li 0.0000 0.0000 0.0000
Li 0.0882 5.1018 11.7327
Li 3.0423 5.0915 11.7410
Li 2.9468 5.0822 2.3375
Li 0.0262 0.0162 4.6901
Li 2.9974 10.1554 4.7007
Li 2.9457 0.0017 0.0007
Fe 2.9945 5.0869 7.0393

Entry 18:
4
Lattice="-1.3831 3.7854 -0.8041 -1.5742 2.2975 3.0219 2.0624 3.2769 1.3773" Properties=species:S:1:pos:R:3 comment="Li2MnFe PBEsol relaxed" total_energy_ev_per_atom=-5.034 ef_mev_per_atom=631.0 sg="Fm-3m (225)" de_polymorph_ev_per_fu=1.21 pbc="T T T"
Mn -0.4474 4.6799 1.7976
Li -0.6711 7.0198 2.6964
Li -0.2237 2.3399 0.8988
Fe 0.0000 0.0000 0.0000

Entry 19:
4
Lattice="3.9853 0.0000 0.0000 1.9926 3.4513 0.0000 1.9926 1.1504 3.2539" Properties=species:S:1:pos:R:3 comment="Li2MnFe PBEsol relaxed" total_energy_ev_per_atom=-5.215 ef_mev_per_atom=449.8 sg="F-43m (216)" de_polymorph_ev_per_fu=0.49 pbc="T T T"
Li 5.9779 3.4513 2.4405
Li 0.0000 0.0000 0.0000
Mn 3.9853 2.3009 1.6270
Fe 1.9926 1.1504 0.8135

Entry 20:
4
Lattice="-0.1965 -1.2330 -2.0891 0.3023 -3.0281 1.7589 -5.6220 -0.1892 0.6405" Properties=species:S:1:pos:R:3 comment="Li2MnFe PBEsol relaxed" total_energy_ev_per_atom=-5.336 ef_mev_per_atom=328.5 sg="Pmm2 (25)" de_polymorph_ev_per_fu=0.00 pbc="T T T"
Li -1.3982 -2.1794 0.0002
Li -5.5668 -0.1874 0.6342
Fe -3.8880 -2.2632 0.2838
Mn -3.0963 -0.1042 0.3527